## Y2CuHg (PBEsol)

Data for crystalline Y2CuHg at its relaxed geometry.

Structure (extended XYZ):
```
4
Lattice="-2.1253 2.1253 4.8934 2.1253 -2.1253 4.8934 2.1253 2.1253 -4.8934" Properties=species:S:1:pos:R:3 pbc="T T T"
Y 0.0000 0.0000 0.0000
Y 0.0000 2.1253 2.4467
Cu 0.0000 0.0000 4.8934
Hg 2.1253 0.0000 2.4467
```

Output
formation energy from the elements: -0.18 eV per atom
size of the total moment: 0.00 μB/atom
raw total energy: -19.265 eV/cell
density: 8.3 g/cm³